This record from Alexandria describes an optimized crystal structure of SmNiP2O8. The functional is GGA+U.

Cell: 5.4207 5.4207 6.0925 Å, 90.00 90.00 120.00°
Closest atoms and distances in Å follow each position.
Space group P-3m1 (No. 164)
Symmetry-distinct sites (fractional):
Sm (0.0000, 0.0000, 0.0000) (multiplicity 1)  6 O 2.33
Ni (0.0000, 0.0000, 0.5000) (multiplicity 1)  6 O 2.18
P (0.3333, 0.6667, 0.6431) (multiplicity 2)  4 O 1.52-1.57
O (0.1764, 0.3529, 0.7316) (multiplicity 6)  1 P 1.57
O (0.3333, 0.6667, 0.3936) (multiplicity 2)  1 P 1.52

Energy: -82.95 eV for the cell shown
Crystal system: trigonal
Spin magnetization: 3.0 μB/cell
Density of states at the Fermi level: 8.35 states/eV per cell